A plane-wave DFT calculation with PBE was carried out for an optimized crystal structure of Pm2PSe.

Geometry as CIF:
```
data_Pm2PSe
_space_group_name_H-M_alt 'R 3 m'
_space_group_IT_number 160
_space_group_name_Hall 'R 3 -2"'
_cell_length_a 4.0808
_cell_length_b 4.0808
_cell_length_c 21.5835
_cell_angle_alpha 90.00
_cell_angle_beta 90.00
_cell_angle_gamma 120.00
loop_
_atom_site_label
_atom_site_fract_x
_atom_site_fract_y
_atom_site_fract_z
Pm1 0.0000 0.0000 0.0000
Pm2 0.0000 0.0000 0.1840
P1 0.0000 0.0000 0.5932
Se1 0.0000 0.0000 0.4242
```

Output
Density (g cm⁻³): 6.40
Volume (Å³ per cell): 311.3
Uncorrected formation energy (eV/atom): -1.72
Polymorph energy (0 for the lowest one) (meV per atom): 69